Computed, not measured: a relaxed Li4PmPt3O12 crystal at the GGA-PBE level of DFT.

Cell and atoms, written as extended XYZ:
```
20
Lattice="6.566 0.000 0.000 -2.189 6.191 0.000 -2.189 -3.095 5.361" Properties=species:S:1:pos:R:3 pbc="T T T"
O 1.552 3.546 2.779
O -2.269 3.166 3.680
Li 3.283 0.000 0.000
O -0.080 4.700 0.780
O 3.741 3.729 0.902
O 2.109 1.421 0.902
O -0.637 2.012 1.681
Pt 2.189 -1.548 2.681
Pm 0.000 0.000 0.000
Li -1.094 3.095 0.000
Pt 2.189 3.095 0.000
Li 1.094 1.548 2.681
Pt -2.189 1.548 2.681
O 0.080 1.675 4.460
O 2.269 -1.604 4.582
O 4.457 -0.070 1.681
Li -1.094 -1.548 2.681
O 0.637 -0.450 2.583
O 2.825 1.084 3.680
O -1.552 -0.634 4.460
```

For the formation energy without anion corrections, the calculation gives -963 meV/atom. As for the density of states at the Fermi level: 9.6 states/eV/f.u.